Density functional theory data (PBE-GGA) for a relaxed structure of Ba3Li4Ni.

Cell: 7.174 9.355 7.633 Å, 90.00 90.00 90.00°
Space group Imm2 (No. 44)
Symmetry-distinct sites (fractional):
Ba (0.000, 0.000, 0.000) x2
Ba (0.000, 0.288, 0.656) x4
Li (0.000, 0.353, 0.207) x4
Li (0.182, 0.000, 0.430) x4
Ni (0.000, 0.500, 0.941) x2

Output
Crystal system: orthorhombic



Density functional theory data (PBE-GGA) for a relaxed structure of InTcTe.

Cell: 6.490 6.490 6.490 Å, 90.00 90.00 90.00°
Space group F-43m (No. 216)
Symmetry-distinct sites (fractional):
In (0.000, 0.000, 0.000) x4
Tc (0.250, 0.250, 0.250) x4
Te (0.000, 0.000, 0.500) x4

Output
Crystal system: cubic



Density functional theory data (PBE-GGA) for a relaxed structure of PrSi2Pt.

Cell: 5.832 4.131 6.510 Å, 90.00 90.08 90.00°
Space group P2_1/m (No. 11)
Symmetry-distinct sites (fractional):
Pr (0.130, 0.250, 0.250) x2
Si (0.336, 0.750, 0.541) x2
Si (0.337, 0.750, 0.959) x2
Pt (0.388, 0.250, 0.750) x2

Output
Crystal system: monoclinic



Density functional theory data (PBE-GGA) for a relaxed structure of Ba2CdPt.

Cell: 7.721 7.721 7.721 Å, 90.00 90.00 90.00°
Space group F-43m (No. 216)
Symmetry-distinct sites (fractional):
Ba (0.000, 0.000, 0.000) x4
Ba (0.250, 0.250, 0.250) x4
Cd (0.250, 0.250, 0.750) x4
Pt (0.000, 0.000, 0.500) x4

Output
Crystal system: cubic



| no. | magnetization (Bohr magnetons per cell) | V (Å³ per atom) | raw total energy (eV/cell) |
| --- | --- | --- | --- |
| 1 | 0.02 | 32.0 | -34.9 |
| 2 | 0.02 | 22.8 | -60.8 |
| 3 | 0.01 | 19.6 | -50.5 |
| 4 | 0.00 | 28.8 | -46.9 |